Record 1
# Al2ZnTe

Al2ZnTe after structural relaxation (PBE, the Alexandria database). Values from VASP.

The structure in Quantum ESPRESSO input format:
```
&SYSTEM
  ibrav = 0, nat = 16, ntyp = 3
/
ATOMIC_SPECIES
Al 26.98 Al.upf
Zn 65.41 Zn.upf
Te 127.60 Te.upf
CELL_PARAMETERS angstrom
6.958 0.000 0.000
0.000 6.958 0.000
0.000 0.000 6.958
ATOMIC_POSITIONS angstrom
Al 1.740 1.740 1.740
Al 1.740 1.740 5.219
Al 1.740 5.219 1.740
Al 1.740 5.219 5.219
Al 5.219 1.740 1.740
Al 5.219 1.740 5.219
Al 5.219 5.219 1.740
Al 5.219 5.219 5.219
Zn 0.000 0.000 0.000
Zn 0.000 3.479 3.479
Zn 3.479 0.000 3.479
Zn 3.479 3.479 0.000
Te 0.000 0.000 3.479
Te 0.000 3.479 0.000
Te 3.479 0.000 0.000
Te 3.479 3.479 3.479
```

The value obtained for the distance to the lowest polymorph of the same formula is 224.9 meV per atom. As for the symmetry: Fm-3m, No. 225. As for the calculated volume: 337 Å³ per cell. Its formation energy (no corrections) is 0.27 eV per atom.

Record 2
# Al2ZnTe

Al2ZnTe after structural relaxation (PBE, the Alexandria database). Values from VASP.

The structure in Quantum ESPRESSO input format:
```
&SYSTEM
  ibrav = 0, nat = 8, ntyp = 3
/
ATOMIC_SPECIES
Al 26.98 Al.upf
Zn 65.41 Zn.upf
Te 127.60 Te.upf
CELL_PARAMETERS angstrom
3.767 0.000 0.000
0.000 3.968 0.000
0.000 0.000 11.334
ATOMIC_POSITIONS angstrom
Al 0.000 0.000 0.000
Al 0.000 1.984 3.513
Al 1.884 0.000 9.180
Al 1.884 1.984 5.667
Zn 0.000 0.000 5.434
Zn 1.884 1.984 11.101
Te 0.000 1.984 7.971
Te 1.884 0.000 2.304
```

The value obtained for the distance to the lowest polymorph of the same formula is 62.7 meV per atom. As for the symmetry: Imm2, No. 44. As for the calculated volume: 169 Å³ per cell. Its formation energy (no corrections) is 0.10 eV per atom.

Record 3
# Al2ZnTe

Al2ZnTe after structural relaxation (PBE, the Alexandria database). Values from VASP.

The structure in Quantum ESPRESSO input format:
```
&SYSTEM
  ibrav = 0, nat = 4, ntyp = 3
/
ATOMIC_SPECIES
Al 26.98 Al.upf
Zn 65.41 Zn.upf
Te 127.60 Te.upf
CELL_PARAMETERS angstrom
2.969 0.000 0.000
0.000 3.763 0.000
-0.002 0.000 7.453
ATOMIC_POSITIONS angstrom
Al 0.000 0.000 0.000
Al 1.485 1.881 1.587
Zn 1.481 1.881 6.018
Te 1.487 0.000 3.748
```

The value obtained for the distance to the lowest polymorph of the same formula is 0.0 meV per atom. As for the symmetry: Pm, No. 6. As for the calculated volume: 83 Å³ per cell. Its formation energy (no corrections) is 0.04 eV per atom.